VASP calculation (PBE-GGA) on crystalline RbBeMo2I at its relaxed geometry.

abc: 4.722 4.722 6.449
angles: 90.00 90.00 90.00
Positions (direct):
Rb  0.000  0.000  0.000
Be  0.500  0.500  0.500
Mo  0.000  0.500  0.500
Mo  0.500  0.000  0.500
I  0.500  0.500  0.000

Calculated values
E_form (uncorrected)	1.41	eV per atom
N(E_F)	4.950	states/eV/f.u.
space-group type	P4/mmm
mass density	4.772	g/cm³